1.
A relaxed NiCl crystal. Source: Alexandria, functional GGA-PBE.

Electronic total energy ... -3.95 eV per atom
Space-group type ... Ama2 (40)
Magnetization ... 1.00 μB/f.u.
ρ ... 4.188 g/cm3

Cell: 3.993 6.175 6.056 Å, 90.00 90.00 90.00°
Sites, in units of the cell vectors:
Ni 0.250 0.111 0.000
Ni 0.250 0.611 0.500
Ni 0.750 0.389 0.500
Ni 0.750 0.889 0.000
Cl 0.250 0.255 0.660
Cl 0.250 0.755 0.160
Cl 0.750 0.245 0.160
Cl 0.750 0.745 0.660

---

2.
A relaxed MgCdAg crystal. Source: Alexandria, functional GGA-PBE.

Space-group type ... F-43m (216)
Magnetization ... 0.00 μB/f.u.
Relative energy among the computed polymorphs ... 119.5 meV per atom
ρ ... 5.786 g/cm3

Cell: 6.548 6.548 6.548 Å, 90.00 90.00 90.00°
Sites, in units of the cell vectors:
Mg 0.000 0.000 0.000
Mg 0.000 0.500 0.500
Mg 0.500 0.000 0.500
Mg 0.500 0.500 0.000
Cd 0.000 0.000 0.500
Cd 0.000 0.500 0.000
Cd 0.500 0.000 0.000
Cd 0.500 0.500 0.500
Ag 0.250 0.250 0.250
Ag 0.250 0.750 0.750
Ag 0.750 0.250 0.750
Ag 0.750 0.750 0.250